(1)
The following is a PBEsol calculation of crystalline TaFe3I at its relaxed geometry, from the Alexandria database.

Output
**Symmetry**: Pm-3m (221)
**DOS(E_F)**: 5.8 states/eV/cell
**Formation energy (no corrections)**: 777 kJ/mol of formula units
**Crystal system**: cubic
**Spin magnetization**: 0.989 μB/atom

abc: 4.5878 4.5878 4.5878
angles: 90.00 90.00 90.00
Fractional positions:
Ta 0.0000 0.0000 0.0000
Fe 0.0000 0.0000 0.5000
Fe 0.0000 0.5000 0.0000
Fe 0.5000 0.0000 0.0000
I 0.5000 0.5000 0.5000

=====

(2)
The following is a PBEsol calculation of crystalline TaFeTe2I at its relaxed geometry, from the Alexandria database.

Output
**Symmetry**: P4/mmm (123)
**DOS(E_F)**: 7.9 states/eV/cell
**Formation energy (no corrections)**: 447 kJ/mol of formula units
**Crystal system**: tetragonal
**Spin magnetization**: 0.829 μB/atom

abc: 5.3352 5.3352 5.4739
angles: 90.00 90.00 90.00
Fractional positions:
Ta 0.0000 0.0000 0.0000
Fe 0.5000 0.5000 0.5000
Te 0.0000 0.5000 0.0000
Te 0.5000 0.0000 0.0000
I 0.0000 0.0000 0.5000

=====

(3)
The following is a PBEsol calculation of crystalline Tb7FeI12 at its relaxed geometry, from the Alexandria database.

Output
**Symmetry**: R-3 (148)
**DOS(E_F)**: 12.2 states/eV/cell
**Formation energy (no corrections)**: -2282 kJ/mol of formula units
**Crystal system**: trigonal
**Spin magnetization**: 0.046 μB/atom

abc: 9.4774 9.4774 9.4774
angles: 106.96 106.96 106.96
Fractional positions:
Tb 0.0000 0.0000 0.0000
Tb 0.2053 0.4052 0.4762
Tb 0.4052 0.4762 0.2053
Tb 0.4762 0.2053 0.4052
Tb 0.5238 0.7947 0.5948
Tb 0.5948 0.5238 0.7947
Tb 0.7947 0.5948 0.5238
Fe 0.5000 0.5000 0.5000
I 0.0307 0.3437 0.1121
I 0.1121 0.0307 0.3437
I 0.1769 0.7307 0.5734
I 0.2693 0.4266 0.8231
I 0.3437 0.1121 0.0307
I 0.4266 0.8231 0.2693
I 0.5734 0.1769 0.7307
I 0.6563 0.8879 0.9693
I 0.7307 0.5734 0.1769
I 0.8231 0.2693 0.4266
I 0.8879 0.9693 0.6563
I 0.9693 0.6563 0.8879

=====

(4)
The following is a PBEsol calculation of crystalline TiFe3I at its relaxed geometry, from the Alexandria database.

Output
**Symmetry**: Pm-3m (221)
**DOS(E_F)**: 5.1 states/eV/cell
**Formation energy (no corrections)**: 626 kJ/mol of formula units
**Crystal system**: cubic
**Spin magnetization**: 1.050 μB/atom

abc: 4.4201 4.4201 4.4201
angles: 90.00 90.00 90.00
Fractional positions:
Ti 0.0000 0.0000 0.0000
Fe 0.0000 0.0000 0.5000
Fe 0.0000 0.5000 0.0000
Fe 0.5000 0.0000 0.0000
I 0.5000 0.5000 0.5000

=====

Ordered volume results: 97 156 710 86; unit Å³/cell.